# 1
PBE GaGeAsN2, optimized geometry; D(E_F) = 4.1 states/eV/f.u.; ΔE_f (raw) = 1.30 eV per atom; DFT total energy = -22.44 eV/f.u.
1.0
3.8254 0.0000 0.0000
0.0000 5.4340 0.0000
0.0000 0.0000 3.8254
N As Ga Ge
2 1 1 1
Cartesian
1.9127 0.0000 0.0000
0.0000 0.0000 1.9127
0.0000 2.7170 0.0000
0.0000 0.0000 0.0000
1.9127 2.7170 1.9127



# 2
PBE NbGa2GeAs, optimized geometry; D(E_F) = 5.6 states/eV/f.u.; formation enthalpy at 0 K = 0.748 eV per atom; DFT total energy = -21.65 eV/f.u.
1.0
5.0691 0.0000 0.0000
0.0000 4.9948 0.0000
0.0000 0.0000 5.0691
Nb Ge As Ga
1 1 1 2
Cartesian
0.0000 0.0000 0.0000
0.0000 2.4974 0.0000
2.5345 2.4974 2.5345
0.0000 0.0000 2.5345
2.5345 0.0000 0.0000



# 3
PBE GaNi7Ge2As2, optimized geometry; D(E_F) = 5.1 states/eV/f.u.; formation enthalpy at 0 K = -0.194 eV per atom; DFT total energy = -64.36 eV/f.u.
1.0
3.5334 -0.0323 0.1226
-0.0280 3.5335 0.1226
2.1268 2.1243 13.9084
Ge As Ni Ga
2 2 7 1
Cartesian
2.2473 2.2445 8.1324
3.3850 3.3809 6.0212
1.6413 1.6393 3.4614
3.9909 3.9861 10.6923
3.4618 1.6770 2.0241
4.0642 4.0593 8.3555
3.9511 2.1657 12.1295
1.5681 1.5661 5.7982
2.1705 3.9484 12.1295
1.6812 3.4597 2.0241
1.7527 1.7506 0.1226
0.0000 0.0000 0.0000



# 4
PBE GaGeAsO6, optimized geometry; ΔE_f (raw) = -1.36 eV per atom; DFT total energy = -54.31 eV/f.u.
1.0
4.8731 0.0000 0.0000
-2.4365 4.2202 0.0000
0.0000 0.0000 8.4412
Ge O As Ga
2 12 2 2
Cartesian
0.0000 0.0000 0.0000
0.0000 0.0000 4.2206
0.7599 1.4619 3.1519
3.2271 0.0728 7.3725
0.8861 1.3890 7.3725
1.5505 2.8312 1.0687
1.6766 2.7584 5.2893
-0.7906 4.1474 1.0687
3.9870 1.3890 5.2893
0.7906 4.1474 3.1519
-0.7599 1.4619 1.0687
-1.5505 2.8312 3.1519
3.1965 2.7584 7.3725
1.6460 0.0728 5.2893
0.0000 2.8135 2.1103
2.4366 1.4067 6.3309
2.4366 1.4067 2.1103
0.0000 2.8135 6.3309



# 5
PBE GaGeAsP, optimized geometry; D(E_F) = 1.5 states/eV/f.u.; formation enthalpy at 0 K = -0.048 eV per atom; DFT total energy = -17.89 eV/f.u.
1.0
-2.0544 0.3872 -3.2838
-1.2412 -2.5475 2.6690
-2.1045 5.8739 3.5773
As Ga P Ge
1 1 1 1
Cartesian
-2.2085 3.1307 0.8382
-2.0371 -1.3090 2.5833
-1.8757 -0.8881 0.2396
-2.5602 2.9605 3.3211



# 6
PBE GaGeAsRh2, optimized geometry; D(E_F) = 6.0 states/eV/f.u.; formation enthalpy at 0 K = 0.721 eV per atom; DFT total energy = -23.39 eV/f.u.
1.0
-3.7671 -2.0592 1.7353
1.9529 -0.0490 4.1814
-1.8472 4.1473 0.9114
As Ge Rh Ga
1 1 2 1
Cartesian
-1.8307 1.0195 3.4140
0.9765 -0.0245 2.0907
-1.8835 -1.0296 0.8676
-0.9236 2.0736 0.4557
0.0000 0.0000 0.0000